Computed, not measured: a relaxed Nd4CSCl2 crystal at the GGA-PBE level of DFT.

Unit cell a=6.9868 b=3.9135 c=7.2643 alpha=90.00 beta=108.01 gamma=90.00
Space group P2/m (No. 10)
Symmetry-distinct sites (fractional):
Nd 0.2095 0.0000 0.1997 x2
Nd 0.2313 0.5000 0.7937 x2
C 0.0000 0.5000 0.0000 x1
S 0.5000 0.0000 0.0000 x1
Cl 0.0000 0.0000 0.5000 x1
Cl 0.5000 0.5000 0.5000 x1



Computed, not measured: a relaxed Nd4CS2Cl crystal at the GGA-PBE level of DFT.

Unit cell a=6.8648 b=3.9473 c=7.1492 alpha=90.00 beta=108.46 gamma=90.00
Space group P2/m (No. 10)
Symmetry-distinct sites (fractional):
Nd 0.2237 0.0000 0.2138 x2
Nd 0.2439 0.5000 0.7836 x2
C 0.0000 0.5000 0.0000 x1
S 0.5000 0.0000 0.0000 x1
S 0.5000 0.5000 0.5000 x1
Cl 0.0000 0.0000 0.5000 x1



Computed, not measured: a relaxed Nd8C3SCl4 crystal at the GGA-PBE level of DFT.

Unit cell a=7.7454 b=7.7454 c=21.2036 alpha=90.00 beta=90.00 gamma=120.00
Space group R-3m (No. 166, hexagonal axes)
Symmetry-distinct sites (fractional):
Nd 0.0000 0.0000 0.2309 x6
Nd 0.0220 0.5110 0.7676 x18
C 0.0000 0.5000 0.5000 x9
S 0.0000 0.0000 0.5000 x3
Cl 0.0000 0.0000 0.0000 x3
Cl 0.0000 0.5000 0.0000 x9



Computed, not measured: a relaxed Nd6C2S3Cl crystal at the GGA-PBE level of DFT.

Unit cell a=17.3761 b=3.9204 c=8.1447 alpha=90.00 beta=102.68 gamma=90.00
Space group C2/m (No. 12)
Symmetry-distinct sites (fractional):
Nd 0.0182 0.0000 0.2748 x4
Nd 0.1744 0.5000 0.5667 x4
Nd 0.1757 0.5000 0.1240 x4
C 0.1678 0.0000 0.3318 x4
S 0.0000 0.5000 0.5000 x2
S 0.1595 0.0000 0.8371 x4
Cl 0.0000 0.5000 0.0000 x2



Computed, not measured: a relaxed Nd6C2SCl3 crystal at the GGA-PBE level of DFT.

Unit cell a=6.7385 b=11.6755 c=7.4298 alpha=90.00 beta=107.61 gamma=90.00
Space group C2/m (No. 12)
Symmetry-distinct sites (fractional):
Nd 0.2109 0.0000 0.1961 x4
Nd 0.2425 0.3227 0.1958 x8
C 0.0000 0.1665 0.0000 x4
S 0.0000 0.5000 0.0000 x2
Cl 0.0000 0.0000 0.5000 x2
Cl 0.0000 0.3335 0.5000 x4



Computed, not measured: a relaxed Nd6C3S2Cl crystal at the GGA-PBE level of DFT.

Unit cell a=17.4846 b=3.8670 c=8.0828 alpha=90.00 beta=106.89 gamma=90.00
Space group C2/m (No. 12)
Symmetry-distinct sites (fractional):
Nd 0.0102 0.0000 0.2202 x4
Nd 0.1608 0.5000 0.1000 x4
Nd 0.1777 0.5000 0.5634 x4
C 0.0000 0.5000 0.0000 x2
C 0.1673 0.0000 0.3326 x4
S 0.1637 0.0000 0.8274 x4
Cl 0.0000 0.5000 0.5000 x2



Computed, not measured: a relaxed Nd8Si3CCl4 crystal at the GGA-PBE level of DFT.

Unit cell a=8.2642 b=8.2642 c=21.2472 alpha=90.00 beta=90.00 gamma=120.00
Space group R-3m (No. 166, hexagonal axes)
Symmetry-distinct sites (fractional):
Nd 0.0000 0.0000 0.2416 x6
Nd 0.0261 0.5131 0.2362 x18
Si 0.0000 0.5000 0.5000 x9
C 0.0000 0.0000 0.5000 x3
Cl 0.0000 0.0000 0.0000 x3
Cl 0.0000 0.5000 0.0000 x9



Computed, not measured: a relaxed Nd4SiCCl2 crystal at the GGA-PBE level of DFT.

Unit cell a=7.0272 b=3.9947 c=7.4987 alpha=90.00 beta=108.19 gamma=90.00
Space group P2/m (No. 10)
Symmetry-distinct sites (fractional):
Nd 0.2120 0.0000 0.1980 x2
Nd 0.2356 0.5000 0.7909 x2
Si 0.5000 0.0000 0.0000 x1
C 0.0000 0.5000 0.0000 x1
Cl 0.0000 0.0000 0.5000 x1
Cl 0.5000 0.5000 0.5000 x1



Computed, not measured: a relaxed NdSmCCl crystal at the GGA-PBE level of DFT.

Unit cell a=3.7353 b=3.7353 c=21.5509 alpha=90.00 beta=90.00 gamma=120.00
Space group R3m (No. 160, hexagonal axes)
Symmetry-distinct sites (fractional):
Nd 0.0000 0.0000 0.0000 x3
Sm 0.0000 0.0000 0.7935 x3
C 0.0000 0.0000 0.3991 x3
Cl 0.0000 0.0000 0.2269 x3



Computed, not measured: a relaxed TbNd2C2Cl2 crystal at the GGA-PBE level of DFT.

Unit cell a=4.5783 b=4.5783 c=14.6365 alpha=90.00 beta=90.00 gamma=90.00
Space group I4/mmm (No. 139)
Symmetry-distinct sites (fractional):
Tb 0.0000 0.0000 0.0000 x2
Nd 0.0000 0.0000 0.3947 x4
C 0.0000 0.5000 0.0000 x4
Cl 0.0000 0.0000 0.1946 x4



Computed, not measured: a relaxed TbNdCCl crystal at the GGA-PBE level of DFT.

Unit cell a=3.6989 b=3.6989 c=21.2912 alpha=90.00 beta=90.00 gamma=120.00
Space group R3m (No. 160, hexagonal axes)
Symmetry-distinct sites (fractional):
Tb 0.0000 0.0000 0.0000 x3
Nd 0.0000 0.0000 0.2070 x3
C 0.0000 0.0000 0.6085 x3
Cl 0.0000 0.0000 0.4313 x3



Computed, not measured: a relaxed Nd3TeCCl crystal at the GGA-PBE level of DFT.

Unit cell a=8.4588 b=4.0513 c=10.1974 alpha=90.00 beta=96.57 gamma=90.00
Space group P2_1/m (No. 11)
Symmetry-distinct sites (fractional):
Nd 0.0838 0.2500 0.3815 x2
Nd 0.1353 0.2500 0.8747 x2
Nd 0.3454 0.7500 0.6346 x2
Te 0.3535 0.7500 0.3158 x2
C 0.1378 0.2500 0.6378 x2
Cl 0.3638 0.7500 0.9170 x2



Magnetization: 0.000 0.000 0.000 0.000 0.000 0.000 0.000 0.000 0.000 0.000 0.000 0.163 (μB per atom)
Uncorrected formation energy: -1.3885 -1.4564 -1.2076 -1.3654 -1.2758 -1.0863 -1.1119 -1.0549 -1.0242 -0.7596 -1.0498 -0.9563 (eV/atom)